## 1
Ce2UHg | PBE-GGA | relaxed Values from VASP.

Cell and atoms, written as Quantum ESPRESSO input:
```
&SYSTEM
  ibrav = 0, nat = 4, ntyp = 3
/
ATOMIC_SPECIES
U 238.03 U.upf
Hg 200.59 Hg.upf
Ce 140.12 Ce.upf
CELL_PARAMETERS angstrom
-0.3097 0.8849 3.0368
-3.1461 -4.4301 0.9701
4.5031 -2.9116 1.3076
ATOMIC_POSITIONS crystal
U 0.5000 0.5000 0.5000
Hg 0.5000 0.0000 0.0000
Ce 0.0000 0.0000 0.5000
Ce 0.0000 0.5000 0.0000
```

space-group type	P4/mmm, No. 123
spin magnetization	1.2	μB per cell
calculated volume	97	Å³/f.u.
density	12.328	g/cm³

---

## 2
Ce2UHg | PBE-GGA | relaxed Values from VASP.

Cell and atoms, written as Quantum ESPRESSO input:
```
&SYSTEM
  ibrav = 0, nat = 4, ntyp = 3
/
ATOMIC_SPECIES
U 238.03 U.upf
Hg 200.59 Hg.upf
Ce 140.12 Ce.upf
CELL_PARAMETERS angstrom
-2.6549 -1.3516 2.2924
-0.9566 -3.6315 -0.1670
5.4914 -3.7252 7.2454
ATOMIC_POSITIONS crystal
U 0.5000 0.5000 0.5000
Hg 0.0000 0.0000 0.0000
Ce 0.1134 0.1134 0.6599
Ce 0.8866 0.8866 0.3401
```

space-group type	R-3m, No. 166
spin magnetization	0.0	μB per cell
calculated volume	117	Å³/f.u.
density	10.180	g/cm³

---

## 3
Ce2UHg | PBE-GGA | relaxed Values from VASP.

Cell and atoms, written as Quantum ESPRESSO input:
```
&SYSTEM
  ibrav = 0, nat = 4, ntyp = 3
/
ATOMIC_SPECIES
U 238.03 U.upf
Hg 200.59 Hg.upf
Ce 140.12 Ce.upf
CELL_PARAMETERS angstrom
-0.9595 1.9084 2.2027
1.5039 -1.6621 2.0952
8.2830 5.7562 -1.3792
ATOMIC_POSITIONS crystal
U 0.5000 0.5000 0.0000
Hg 0.5000 0.5000 0.5000
Ce 0.0000 0.0000 0.7559
Ce 0.0000 0.0000 0.2441
```

space-group type	P4/mmm, No. 123
spin magnetization	1.8	μB per cell
calculated volume	96	Å³/f.u.
density	12.454	g/cm³

---

Stability summary - winner: 1; margin: 0.009 eV/atom.

---

## 1
CeYHg | PBE-GGA | relaxed Values from VASP.

Cell and atoms, written as Quantum ESPRESSO input:
```
&SYSTEM
  ibrav = 0, nat = 6, ntyp = 3
/
ATOMIC_SPECIES
Hg 200.59 Hg.upf
Y 88.91 Y.upf
Ce 140.12 Ce.upf
CELL_PARAMETERS angstrom
3.5912 0.0000 0.0000
0.0000 5.3135 0.0000
-1.7956 0.0000 8.5963
ATOMIC_POSITIONS crystal
Hg 0.4147 0.2500 0.8295
Hg 0.5853 0.7500 0.1705
Y 0.9234 0.7500 0.8468
Y 0.0766 0.2500 0.1532
Ce 0.7604 0.2500 0.5208
Ce 0.2396 0.7500 0.4792
```

space-group type	Cmcm, No. 63
spin magnetization	1.2	μB per cell
calculated volume	82	Å³/f.u.
density	8.698	g/cm³

---

## 2
CeYHg | PBE-GGA | relaxed Values from VASP.

Cell and atoms, written as Quantum ESPRESSO input:
```
&SYSTEM
  ibrav = 0, nat = 6, ntyp = 3
/
ATOMIC_SPECIES
Ce 140.12 Ce.upf
Y 88.91 Y.upf
Hg 200.59 Hg.upf
CELL_PARAMETERS angstrom
-3.5454 3.7619 -2.1979
-1.6177 0.1744 2.9081
8.0631 4.7442 2.2915
ATOMIC_POSITIONS crystal
Ce 0.2640 0.5000 0.0000
Ce 0.7360 0.5000 0.0000
Y 0.3312 0.8312 0.6625
Y 0.6688 0.1688 0.3375
Hg 0.8395 0.3395 0.6790
Hg 0.1605 0.6605 0.3210
```

space-group type	Immm, No. 71
spin magnetization	1.5	μB per cell
calculated volume	85	Å³/f.u.
density	8.412	g/cm³

---

Stability summary - winner: 1; margin: 0.203 eV/atom.

---

## 1
Ce2YHg | PBE-GGA | relaxed Values from VASP.

Cell and atoms, written as Quantum ESPRESSO input:
```
&SYSTEM
  ibrav = 0, nat = 4, ntyp = 3
/
ATOMIC_SPECIES
Y 88.91 Y.upf
Hg 200.59 Hg.upf
Ce 140.12 Ce.upf
CELL_PARAMETERS angstrom
-1.6129 2.3947 1.8197
-2.0627 -2.3835 1.3084
6.4283 -1.4139 7.5584
ATOMIC_POSITIONS crystal
Y 0.5000 0.5000 0.5000
Hg 0.5000 0.5000 0.0000
Ce 0.0000 0.0000 0.7711
Ce 0.0000 0.0000 0.2289
```

space-group type	P4/mmm, No. 123
spin magnetization	2.0	μB per cell
calculated volume	117	Å³/f.u.
density	8.104	g/cm³

---

## 2
Ce2YHg | PBE-GGA | relaxed Values from VASP.

Cell and atoms, written as Quantum ESPRESSO input:
```
&SYSTEM
  ibrav = 0, nat = 4, ntyp = 3
/
ATOMIC_SPECIES
Y 88.91 Y.upf
Hg 200.59 Hg.upf
Ce 140.12 Ce.upf
CELL_PARAMETERS angstrom
-4.3794 1.9128 2.3331
-2.5192 -2.8880 -2.3611
0.4178 -3.0496 3.2844
ATOMIC_POSITIONS crystal
Y 0.5000 0.0000 0.0000
Hg 0.5000 0.5000 0.5000
Ce 0.0000 0.0000 0.5000
Ce 0.0000 0.5000 0.0000
```

space-group type	P4/mmm, No. 123
spin magnetization	1.6	μB per cell
calculated volume	108	Å³/f.u.
density	8.780	g/cm³

---

Stability summary - winner: 2; margin: 0.066 eV/atom.

---

## 1
CeYHg4 | PBE-GGA | relaxed Values from VASP.

Cell and atoms, written as Quantum ESPRESSO input:
```
&SYSTEM
  ibrav = 0, nat = 6, ntyp = 3
/
ATOMIC_SPECIES
Ce 140.12 Ce.upf
Y 88.91 Y.upf
Hg 200.59 Hg.upf
CELL_PARAMETERS angstrom
3.4233 -0.0012 0.0003
0.0016 5.0325 -0.0001
-0.0007 0.0003 8.6975
ATOMIC_POSITIONS crystal
Ce 0.9985 0.4973 0.9981
Y 0.9986 0.9973 0.4981
Hg 0.4986 0.9973 0.1682
Hg 0.4985 0.9973 0.8281
Hg 0.4987 0.4973 0.6621
Hg 0.4986 0.4973 0.3342
```

space-group type	Pmmm, No. 47
spin magnetization	1.2	μB per cell
calculated volume	150	Å³/f.u.
density	11.430	g/cm³

---

## 2
CeYHg4 | PBE-GGA | relaxed Values from VASP.

Cell and atoms, written as Quantum ESPRESSO input:
```
&SYSTEM
  ibrav = 0, nat = 6, ntyp = 3
/
ATOMIC_SPECIES
Y 88.91 Y.upf
Hg 200.59 Hg.upf
Ce 140.12 Ce.upf
CELL_PARAMETERS angstrom
-2.9583 -5.1574 0.7845
2.0793 -4.0924 3.8593
-2.9173 -1.0320 5.1371
ATOMIC_POSITIONS crystal
Y 0.0000 0.0000 0.0000
Hg 0.6250 0.6250 0.1249
Hg 0.6250 0.1249 0.6250
Hg 0.6250 0.6250 0.6250
Hg 0.1249 0.6250 0.6250
Ce 0.2500 0.2500 0.2500
```

space-group type	F-43m, No. 216
spin magnetization	1.1	μB per cell
calculated volume	153	Å³/f.u.
density	11.229	g/cm³

---

## 3
CeYHg4 | PBE-GGA | relaxed Values from VASP.

Cell and atoms, written as Quantum ESPRESSO input:
```
&SYSTEM
  ibrav = 0, nat = 6, ntyp = 3
/
ATOMIC_SPECIES
Ce 140.12 Ce.upf
Y 88.91 Y.upf
Hg 200.59 Hg.upf
CELL_PARAMETERS angstrom
-1.4903 3.2488 -1.5142
-1.4356 -0.4262 5.5121
7.9469 1.5785 0.4827
ATOMIC_POSITIONS crystal
Ce 0.5012 0.4971 0.9982
Y 0.0014 0.9975 0.4981
Hg 0.3467 0.0106 0.1747
Hg 0.6557 0.9837 0.8215
Hg 0.8267 0.4919 0.6549
Hg 0.1760 0.5029 0.3414
```

space-group type	P-1, No. 2
spin magnetization	1.5	μB per cell
calculated volume	156	Å³/f.u.
density	10.969	g/cm³

---

Stability summary - winner: 1; margin: 0.071 eV/atom.

---

## 1
CeYHg2 | PBE-GGA | relaxed Values from VASP.

Cell and atoms, written as Quantum ESPRESSO input:
```
&SYSTEM
  ibrav = 0, nat = 4, ntyp = 3
/
ATOMIC_SPECIES
Y 88.91 Y.upf
Hg 200.59 Hg.upf
Ce 140.12 Ce.upf
CELL_PARAMETERS angstrom
3.7047 0.0000 0.0000
0.0000 3.7047 0.0000
0.0000 0.0000 7.8568
ATOMIC_POSITIONS crystal
Y 0.5000 0.5000 0.0000
Hg 0.0000 0.0000 0.7676
Hg 0.0000 0.0000 0.2324
Ce 0.5000 0.5000 0.5000
```

space-group type	P4/mmm, No. 123
spin magnetization	1.5	μB per cell
calculated volume	108	Å³/f.u.
density	9.705	g/cm³

---

## 2
CeYHg2 | PBE-GGA | relaxed Values from VASP.

Cell and atoms, written as Quantum ESPRESSO input:
```
&SYSTEM
  ibrav = 0, nat = 4, ntyp = 3
/
ATOMIC_SPECIES
Y 88.91 Y.upf
Hg 200.59 Hg.upf
Ce 140.12 Ce.upf
CELL_PARAMETERS angstrom
5.3514 0.0000 0.0000
2.6757 4.6345 0.0000
2.6757 1.5448 4.3694
ATOMIC_POSITIONS crystal
Y 0.5000 0.5000 0.5000
Hg 0.2500 0.2500 0.2500
Hg 0.7500 0.7500 0.7500
Ce 0.0000 0.0000 0.0000
```

space-group type	Fm-3m, No. 225
spin magnetization	1.6	μB per cell
calculated volume	108	Å³/f.u.
density	9.657	g/cm³

---

Stability summary - winner: 1; margin: 0.013 eV/atom.

---

## 1
CeYHg6 | PBE-GGA | relaxed Values from VASP.

Cell and atoms, written as Quantum ESPRESSO input:
```
&SYSTEM
  ibrav = 0, nat = 8, ntyp = 3
/
ATOMIC_SPECIES
Ce 140.12 Ce.upf
Y 88.91 Y.upf
Hg 200.59 Hg.upf
CELL_PARAMETERS angstrom
4.7452 0.0000 0.0000
0.0000 4.7453 0.0000
0.0000 0.0000 9.0787
ATOMIC_POSITIONS crystal
Ce 0.0000 0.0000 0.0000
Y 0.0000 0.0000 0.5000
Hg 0.5000 0.5000 0.0000
Hg 0.5000 0.5000 0.5000
Hg 0.5000 0.0000 0.2551
Hg 0.5000 0.0000 0.7449
Hg 0.0000 0.5000 0.2551
Hg 0.0000 0.5000 0.7449
```

space-group type	P4/mmm, No. 123
spin magnetization	1.5	μB per cell
calculated volume	204	Å³/f.u.
density	11.636	g/cm³

---

## 2
CeYHg6 | PBE-GGA | relaxed Values from VASP.

Cell and atoms, written as Quantum ESPRESSO input:
```
&SYSTEM
  ibrav = 0, nat = 8, ntyp = 3
/
ATOMIC_SPECIES
Ce 140.12 Ce.upf
Y 88.91 Y.upf
Hg 200.59 Hg.upf
CELL_PARAMETERS angstrom
-3.4314 2.8699 2.3263
-4.8804 -4.2496 -1.9561
3.1714 -0.9818 5.8892
ATOMIC_POSITIONS crystal
Ce 0.5000 0.4159 0.5841
Y 0.0000 0.0841 0.9159
Hg 0.0000 0.0762 0.4127
Hg 0.0000 0.5873 0.9238
Hg 0.0000 0.5858 0.4142
Hg 0.5000 0.4181 0.0848
Hg 0.5000 0.9152 0.5819
Hg 0.5000 0.9169 0.0831
```

space-group type	Amm2, No. 38
spin magnetization	1.1	μB per cell
calculated volume	200	Å³/f.u.
density	11.915	g/cm³

---

Stability summary - winner: 2; margin: 0.043 eV/atom.